1.
Below is PrCdB4 after structural relaxation, with properties calculated at the GGA-PBE level.

Values from the calculation:
Magnetization ... 0.00 μB per cell
VASP energy ... -63.996 eV/cell

CIF file:
```
data_PrCdB4
_symmetry_space_group_name_H-M 'I m m m'
_symmetry_Int_Tables_number 71
_symmetry_space_group_name_Hall '-I 2 2'
_cell_length_a 3.2025
_cell_length_b 5.5009
_cell_length_c 8.5634
_cell_angle_alpha 90.00
_cell_angle_beta 90.00
_cell_angle_gamma 90.00
loop_
_atom_site_label
_atom_site_type_symbol
_atom_site_fract_x
_atom_site_fract_y
_atom_site_fract_z
Pr1 Pr 0.0000 0.0000 0.0000
Cd1 Cd 0.0000 0.0000 0.5000
B1 B 0.0000 0.3230 0.2561
```

---

2.
Below is LuGaPd2 after structural relaxation, with properties calculated at the GGA-PBE level.

Values from the calculation:
Magnetization ... 0.00 μB per cell
VASP energy ... -82.180 eV/cell

CIF file:
```
data_LuGaPd2
_symmetry_space_group_name_H-M 'F -4 3 m'
_symmetry_Int_Tables_number 216
_symmetry_space_group_name_Hall 'F -4 2 3'
_cell_length_a 6.5713
_cell_length_b 6.5713
_cell_length_c 6.5713
_cell_angle_alpha 90.00
_cell_angle_beta 90.00
_cell_angle_gamma 90.00
loop_
_atom_site_label
_atom_site_type_symbol
_atom_site_fract_x
_atom_site_fract_y
_atom_site_fract_z
Lu1 Lu 0.0000 0.0000 0.0000
Ga1 Ga 0.2500 0.2500 0.7500
Pd1 Pd 0.0000 0.0000 0.5000
Pd2 Pd 0.2500 0.2500 0.2500
```

---

3.
Below is Sc4Ta2Sn3C3 after structural relaxation, with properties calculated at the GGA-PBE level.

Values from the calculation:
Magnetization ... 0.01 μB per cell
VASP energy ... -386.968 eV/cell

CIF file:
```
data_Sc4Ta2Sn3C3
_symmetry_space_group_name_H-M 'C 1 2/c 1'
_symmetry_Int_Tables_number 15
_cell_length_a 9.9487
_cell_length_b 5.7618
_cell_length_c 14.7653
_cell_angle_alpha 90.00
_cell_angle_beta 103.19
_cell_angle_gamma 90.00
loop_
_symmetry_equiv_pos_as_xyz
'x,y,z'
'-x,-y,-z'
'-x,y,-z+1/2'
'x,-y,z+1/2'
'x+1/2,y+1/2,z'
'-x+1/2,-y+1/2,-z'
'-x+1/2,y+1/2,-z+1/2'
'x+1/2,-y+1/2,z+1/2'
loop_
_atom_site_label
_atom_site_type_symbol
_atom_site_fract_x
_atom_site_fract_y
_atom_site_fract_z
Sc1 Sc 0.1123 0.0746 0.0857
Sc2 Sc 0.2170 0.0881 0.4142
Ta1 Ta 0.0615 0.4129 0.9241
Sn1 Sn 0.0000 0.1026 0.7500
Sn2 Sn 0.1575 0.4245 0.2481
C1 C 0.0786 0.2637 0.5000
C2 C 0.2500 0.2500 0.0000
```

---

4.
Below is MgIrPd2 after structural relaxation, with properties calculated at the GGA-PBE level.

Values from the calculation:
Magnetization ... 3.98 μB per cell
VASP energy ... -84.747 eV/cell

CIF file:
```
data_MgIrPd2
_symmetry_space_group_name_H-M 'F -4 3 m'
_symmetry_Int_Tables_number 216
_symmetry_space_group_name_Hall 'F -4 2 3'
_cell_length_a 6.2711
_cell_length_b 6.2711
_cell_length_c 6.2711
_cell_angle_alpha 90.00
_cell_angle_beta 90.00
_cell_angle_gamma 90.00
loop_
_atom_site_label
_atom_site_type_symbol
_atom_site_fract_x
_atom_site_fract_y
_atom_site_fract_z
Mg1 Mg 0.0000 0.0000 0.0000
Ir1 Ir 0.2500 0.2500 0.2500
Pd1 Pd 0.0000 0.0000 0.5000
Pd2 Pd 0.2500 0.2500 0.7500
```

---

5.
Below is GeMo4PN2 after structural relaxation, with properties calculated at the GGA-PBE level.

Values from the calculation:
Magnetization ... 0.05 μB per cell
VASP energy ... -70.945 eV/cell

CIF file:
```
data_GeMo4PN2
_symmetry_space_group_name_H-M 'P -6 m 2'
_symmetry_Int_Tables_number 187
_symmetry_space_group_name_Hall 'P -6 2'
_cell_length_a 2.9918
_cell_length_b 2.9918
_cell_length_c 13.0474
_cell_angle_alpha 90.00
_cell_angle_beta 90.00
_cell_angle_gamma 120.00
loop_
_atom_site_label
_atom_site_type_symbol
_atom_site_fract_x
_atom_site_fract_y
_atom_site_fract_z
Ge1 Ge 0.0000 0.0000 0.0000
Mo1 Mo 0.0000 0.0000 0.3630
Mo2 Mo 0.6667 0.3333 0.1591
P1 P 0.6667 0.3333 0.5000
N1 N 0.3333 0.6667 0.2571
```

---

6.
Below is Pr3Mg3InIr2 after structural relaxation, with properties calculated at the GGA-PBE level.

Values from the calculation:
Magnetization ... 0.00 μB per cell
VASP energy ... -43.520 eV/cell

CIF file:
```
data_Pr3Mg3InIr2
_symmetry_space_group_name_H-M 'P -6 2 m'
_symmetry_Int_Tables_number 189
_symmetry_space_group_name_Hall 'P -6 -2'
_cell_length_a 7.5880
_cell_length_b 7.5880
_cell_length_c 4.3136
_cell_angle_alpha 90.00
_cell_angle_beta 90.00
_cell_angle_gamma 120.00
loop_
_atom_site_label
_atom_site_type_symbol
_atom_site_fract_x
_atom_site_fract_y
_atom_site_fract_z
Pr1 Pr 0.0000 0.4268 0.0000
Mg1 Mg 0.0000 0.7427 0.5000
In1 In 0.0000 0.0000 0.0000
Ir1 Ir 0.3333 0.6667 0.5000
```

---

7.
Below is Ta3SnCN after structural relaxation, with properties calculated at the GGA-PBE level.

Values from the calculation:
Magnetization ... 0.00 μB per cell
VASP energy ... -119.775 eV/cell

CIF file:
```
data_Ta3SnCN
_symmetry_space_group_name_H-M 'P -3 m 1'
_symmetry_Int_Tables_number 164
_symmetry_space_group_name_Hall '-P 3 2"'
_cell_length_a 3.1719
_cell_length_b 3.1719
_cell_length_c 19.3346
_cell_angle_alpha 90.00
_cell_angle_beta 90.00
_cell_angle_gamma 120.00
loop_
_atom_site_label
_atom_site_type_symbol
_atom_site_fract_x
_atom_site_fract_y
_atom_site_fract_z
Ta1 Ta 0.0000 0.0000 0.0000
Ta2 Ta 0.0000 0.0000 0.5000
Ta3 Ta 0.3333 0.6667 0.1264
Ta4 Ta 0.3333 0.6667 0.3709
Sn1 Sn 0.0000 0.0000 0.2480
C1 C 0.3333 0.6667 0.5677
N1 N 0.3333 0.6667 0.9366
```

---

8.
Below is Hf2Cu2Hg after structural relaxation, with properties calculated at the GGA-PBE level.

Values from the calculation:
Magnetization ... 0.03 μB per cell
VASP energy ... -56.711 eV/cell
ΔE_f ... -0.14 eV/atom

CIF file:
```
data_Hf2Cu2Hg
_symmetry_space_group_name_H-M 'P 4/m b m'
_symmetry_Int_Tables_number 127
_symmetry_space_group_name_Hall '-P 4 2ab'
_cell_length_a 7.0592
_cell_length_b 7.0592
_cell_length_c 3.5083
_cell_angle_alpha 90.00
_cell_angle_beta 90.00
_cell_angle_gamma 90.00
loop_
_atom_site_label
_atom_site_type_symbol
_atom_site_fract_x
_atom_site_fract_y
_atom_site_fract_z
Hf1 Hf 0.1667 0.3333 0.0000
Cu1 Cu 0.1250 0.6250 0.5000
Hg1 Hg 0.0000 0.0000 0.5000
```

---

9.
Below is AcBePt after structural relaxation, with properties calculated at the GGA-PBE level.

Values from the calculation:
Magnetization ... 0.01 μB per cell
VASP energy ... -51.124 eV/cell

CIF file:
```
data_AcBePt
_symmetry_space_group_name_H-M 'F -4 3 m'
_symmetry_Int_Tables_number 216
_symmetry_space_group_name_Hall 'F -4 2 3'
_cell_length_a 6.9989
_cell_length_b 6.9989
_cell_length_c 6.9989
_cell_angle_alpha 90.00
_cell_angle_beta 90.00
_cell_angle_gamma 90.00
loop_
_atom_site_label
_atom_site_type_symbol
_atom_site_fract_x
_atom_site_fract_y
_atom_site_fract_z
Ac1 Ac 0.0000 0.0000 0.0000
Be1 Be 0.2500 0.2500 0.7500
Pt1 Pt 0.2500 0.2500 0.2500
```

---

10.
Below is NdEr2Ga2 after structural relaxation, with properties calculated at the GGA-PBE level.

Values from the calculation:
Magnetization ... 0.00 μB per cell
VASP energy ... -44.513 eV/cell

CIF file:
```
data_NdEr2Ga2
_symmetry_space_group_name_H-M 'P 4/m b m'
_symmetry_Int_Tables_number 127
_symmetry_space_group_name_Hall '-P 4 2ab'
_cell_length_a 7.6884
_cell_length_b 7.6884
_cell_length_c 4.3061
_cell_angle_alpha 90.00
_cell_angle_beta 90.00
_cell_angle_gamma 90.00
loop_
_atom_site_label
_atom_site_type_symbol
_atom_site_fract_x
_atom_site_fract_y
_atom_site_fract_z
Nd1 Nd 0.0000 0.0000 0.0000
Er1 Er 0.1742 0.3258 0.5000
Ga1 Ga 0.1198 0.6198 0.0000
```

---

11.
Below is HfBePt after structural relaxation, with properties calculated at the GGA-PBE level.

Values from the calculation:
Magnetization ... 0.02 μB per cell
VASP energy ... -43.024 eV/cell

CIF file:
```
data_HfBePt
_symmetry_space_group_name_H-M 'I 4 m m'
_symmetry_Int_Tables_number 107
_symmetry_space_group_name_Hall 'I 4 -2'
_cell_length_a 3.0828
_cell_length_b 3.0828
_cell_length_c 9.5264
_cell_angle_alpha 90.00
_cell_angle_beta 90.00
_cell_angle_gamma 90.00
loop_
_atom_site_label
_atom_site_type_symbol
_atom_site_fract_x
_atom_site_fract_y
_atom_site_fract_z
Hf1 Hf 0.0000 0.0000 0.0000
Be1 Be 0.0000 0.0000 0.3090
Pt1 Pt 0.0000 0.0000 0.6985
```

---

12.
Below is Cs2TePt2 after structural relaxation, with properties calculated at the GGA-PBE level.

Values from the calculation:
Magnetization ... 0.01 μB per cell
VASP energy ... -36.976 eV/cell

CIF file:
```
data_Cs2TePt2
_symmetry_space_group_name_H-M 'I m m m'
_symmetry_Int_Tables_number 71
_symmetry_space_group_name_Hall '-I 2 2'
_cell_length_a 4.6169
_cell_length_b 5.6152
_cell_length_c 11.9046
_cell_angle_alpha 90.00
_cell_angle_beta 90.00
_cell_angle_gamma 90.00
loop_
_atom_site_label
_atom_site_type_symbol
_atom_site_fract_x
_atom_site_fract_y
_atom_site_fract_z
Cs1 Cs 0.0000 0.0000 0.2066
Te1 Te 0.0000 0.5000 0.0000
Pt1 Pt 0.0000 0.2623 0.5000
```